Record 1
LiCdAu2: optimized geometry, PBE.

## Properties
Formation energy ... -0.28 eV per atom
Mass density ... 11.924 Mg/m³
Space-group type ... C2/m, No. 12
DOS at the Fermi energy ... 1.3 states/eV/f.u.

POSCAR file:
```
LiCdAu2
1.0
-4.498 -0.206 -2.072
-2.477 -0.680 -4.239
-0.958 -5.055 0.212
Cd Au Li
1 2 1
direct
0.750 0.750 0.750
0.507 0.507 0.487
0.993 0.993 0.013
0.250 0.250 0.250
```



Record 2
LiCd4Au2: optimized geometry, PBE.

## Properties
Formation energy ... -0.18 eV per atom
Mass density ... 9.975 Mg/m³
Space-group type ... P2_1/m, No. 11
DOS at the Fermi energy ... 1.7 states/eV/f.u.
Offset from the most stable computed form ... 78 meV/atom

POSCAR file:
```
LiCd4Au2
1.0
7.322 0.000 -0.515
0.000 5.871 0.000
-3.296 0.000 6.820
Cd Li Au
8 2 4
direct
0.121 0.750 0.930
0.567 0.501 0.238
0.879 0.250 0.070
0.988 0.750 0.494
0.433 0.001 0.762
0.433 0.499 0.762
0.567 0.999 0.238
0.012 0.250 0.506
0.736 0.250 0.653
0.264 0.750 0.347
0.679 0.750 0.619
0.321 0.250 0.381
0.189 0.250 0.938
0.811 0.750 0.062
```



Record 3
Li3Cd4Au: optimized geometry, PBE.

## Properties
Formation energy ... -0.19 eV per atom
Mass density ... 6.890 Mg/m³
Space-group type ... C2/m, No. 12
DOS at the Fermi energy ... 1.9 states/eV/f.u.
Offset from the most stable computed form ... 41 meV/atom

POSCAR file:
```
Li3Cd4Au
1.0
-2.295 1.249 -2.356
2.272 -0.862 -2.669
-5.361 -11.633 1.682
Cd Li Au
4 3 1
direct
0.908 0.908 0.817
0.092 0.092 0.183
0.337 0.337 0.673
0.663 0.663 0.327
0.782 0.782 0.564
0.000 0.500 0.000
0.218 0.218 0.436
0.500 0.000 0.000
```



Record 4
Li4CdAu: optimized geometry, PBE.

## Properties
Formation energy ... -0.17 eV per atom
Mass density ... 5.946 Mg/m³
Space-group type ... F-43m, No. 216
DOS at the Fermi energy ... 2.8 states/eV/f.u.
Offset from the most stable computed form ... 142 meV/atom

POSCAR file:
```
Li4CdAu
1.0
0.000 3.611 3.611
3.611 0.000 3.611
3.611 3.611 0.000
Li Au Cd
4 1 1
direct
0.376 0.376 0.872
0.872 0.376 0.376
0.376 0.872 0.376
0.376 0.376 0.376
0.750 0.750 0.750
0.000 0.000 0.000
```



Record 5
LiCd2Au: optimized geometry, PBE.

## Properties
Formation energy ... -0.28 eV per atom
Mass density ... 9.494 Mg/m³
Space-group type ... F-43m, No. 216
DOS at the Fermi energy ... 1.8 states/eV/f.u.
Offset from the most stable computed form ... 55 meV/atom

POSCAR file:
```
LiCd2Au
1.0
-3.760 1.645 2.358
-1.258 -1.968 4.117
0.600 2.385 4.044
Li Au Cd
1 1 2
direct
0.750 0.750 0.750
0.500 0.500 0.500
0.250 0.250 0.250
0.000 0.000 0.000
```



Record 6
Li4CdAu: optimized geometry, PBE.

## Properties
Formation energy ... -0.32 eV per atom
Mass density ... 5.491 Mg/m³
Space-group type ... Pmmm, No. 47
DOS at the Fermi energy ... 2.5 states/eV/f.u.
Offset from the most stable computed form ... 0 meV/atom

POSCAR file:
```
Li4CdAu
1.0
-3.314 1.137 -1.654
-3.061 -2.128 4.670
0.679 7.813 4.006
Au Li Cd
2 8 2
direct
0.000 0.750 0.500
0.000 0.250 0.500
0.500 0.500 0.352
0.000 0.750 0.177
0.500 0.000 0.352
0.000 0.750 0.823
0.000 0.250 0.823
0.000 0.250 0.177
0.500 0.000 0.648
0.500 0.500 0.648
0.500 0.500 0.000
0.500 0.000 0.000
```



Record 7
Li2CdAu: optimized geometry, PBE.

## Properties
Formation energy ... -0.42 eV per atom
Mass density ... 7.728 Mg/m³
Space-group type ... F-43m, No. 216
DOS at the Fermi energy ... 1.1 states/eV/f.u.
Offset from the most stable computed form ... 6 meV/atom

POSCAR file:
```
Li2CdAu
1.0
4.614 0.000 0.000
2.307 3.996 0.000
2.307 1.332 3.767
Au Cd Li
1 1 2
direct
0.500 0.500 0.500
0.750 0.750 0.750
0.250 0.250 0.250
0.000 0.000 0.000
```



Record 8
Li9Cd4Au11: optimized geometry, PBE.

## Properties
Formation energy ... -0.43 eV per atom
Mass density ... 10.833 Mg/m³
Space-group type ... Cmmm, No. 65
DOS at the Fermi energy ... 4.9 states/eV/f.u.

POSCAR file:
```
Li9Cd4Au11
1.0
-0.607 -0.889 2.691
-10.529 -4.854 -3.977
8.900 -8.392 -0.766
Au Li Cd
11 9 4
direct
0.000 0.000 0.000
0.000 0.030 0.396
0.000 0.375 0.625
0.000 0.801 0.801
0.000 0.808 0.192
0.000 0.604 0.970
0.000 0.396 0.030
0.000 0.199 0.199
0.000 0.192 0.808
0.000 0.625 0.375
0.000 0.970 0.604
0.500 0.006 0.200
0.500 0.161 0.609
0.500 0.800 0.994
0.500 0.994 0.800
0.500 0.609 0.161
0.500 0.839 0.391
0.500 0.200 0.006
0.500 0.500 0.500
0.500 0.391 0.839
0.500 0.755 0.584
0.500 0.416 0.245
0.500 0.245 0.416
0.500 0.584 0.755
```



Record 9
Li15Cd4Au: optimized geometry, PBE.

## Properties
Formation energy ... -0.21 eV per atom
Mass density ... 3.491 Mg/m³
Space-group type ... P4/mmm, No. 123
DOS at the Fermi energy ... 7.0 states/eV/f.u.

POSCAR file:
```
Li15Cd4Au
1.0
-0.702 -3.895 -1.613
2.508 -1.700 3.014
-15.501 -2.068 11.732
Li Cd Au
15 4 1
direct
0.500 0.000 0.500
0.500 0.500 0.192
0.000 0.500 0.911
0.000 0.500 0.500
0.000 0.500 0.295
0.500 0.000 0.089
0.000 0.500 0.089
0.500 0.000 0.295
0.500 0.500 0.000
0.500 0.000 0.911
0.000 0.500 0.705
0.500 0.500 0.398
0.500 0.000 0.705
0.500 0.500 0.808
0.500 0.500 0.602
0.000 0.000 0.193
0.000 0.000 0.807
0.000 0.000 0.602
0.000 0.000 0.398
0.000 0.000 0.000
```



Record 10
Li9CdAu2: optimized geometry, PBE.

## Properties
Formation energy ... -0.30 eV per atom
Mass density ... 4.725 Mg/m³
Space-group type ... P4/mmm, No. 123
DOS at the Fermi energy ... 4.0 states/eV/f.u.

POSCAR file:
```
Li9CdAu2
1.0
-0.131 1.768 -3.629
-3.829 -1.203 -0.449
-3.877 10.396 5.205
Au Li Cd
2 9 1
direct
0.000 0.000 0.340
0.000 0.000 0.660
0.500 0.000 0.500
0.500 0.000 0.818
0.500 0.500 0.000
0.500 0.500 0.659
0.000 0.500 0.182
0.000 0.500 0.818
0.000 0.500 0.500
0.500 0.000 0.182
0.500 0.500 0.341
0.000 0.000 0.000
```



Record 11
Li2Cd2Au5: optimized geometry, PBE.

## Properties
Formation energy ... -0.28 eV per atom
Mass density ... 11.655 Mg/m³
Space-group type ... Ima2, No. 46
DOS at the Fermi energy ... 2.6 states/eV/f.u.
Offset from the most stable computed form ... 0 meV/atom

POSCAR file:
```
Li2Cd2Au5
1.0
-2.325 3.396 -2.246
-6.616 -5.685 -1.748
0.722 3.308 9.147
Li Au Cd
4 10 4
direct
0.000 0.889 0.000
0.500 0.389 0.000
0.498 0.886 0.500
0.502 0.386 0.500
0.705 0.092 0.910
0.705 0.592 0.910
0.996 0.176 0.500
0.004 0.676 0.500
0.593 0.232 0.691
0.407 0.541 0.309
0.598 0.732 0.691
0.295 0.682 0.090
0.295 0.182 0.090
0.402 0.041 0.309
0.886 0.806 0.275
0.111 0.032 0.725
0.889 0.306 0.275
0.114 0.532 0.725
```



Record 12
LiCd2Au: optimized geometry, PBE.

## Properties
Formation energy ... -0.16 eV per atom
Mass density ... 9.239 Mg/m³
Space-group type ... R-3m, No. 166
DOS at the Fermi energy ... 1.4 states/eV/f.u.
Offset from the most stable computed form ... 181 meV/atom

POSCAR file:
```
LiCd2Au
1.0
-7.850 -5.835 -1.360
-5.698 -7.714 -2.356
-6.323 -7.562 0.600
Li Cd Au
1 2 1
direct
0.250 0.250 0.250
0.501 0.501 0.501
0.999 0.999 0.999
0.750 0.750 0.750
```